The following is a DFT calculation (PBE+U) of a geometry-optimized Rb2LiNd2W4O16 structure.

Unit cell a=7.844 b=7.844 c=7.505 alpha=116.66 beta=116.66 gamma=92.65
Positions (direct):
Rb (0.000, 0.000, 0.000)
Rb (0.540, 0.460, 0.500)
Li (0.761, 0.239, 0.000)
Nd (0.511, 0.489, 0.000)
Nd (0.983, 0.017, 0.500)
W (0.044, 0.554, 0.540)
W (0.063, 0.536, 0.042)
W (0.446, 0.956, 0.460)
W (0.464, 0.937, 0.958)
O (0.108, 0.482, 0.294)
O (0.128, 0.826, 0.277)
O (0.137, 0.315, 0.887)
O (0.174, 0.872, 0.723)
O (0.332, 0.619, 0.769)
O (0.381, 0.181, 0.617)
O (0.381, 0.668, 0.231)
O (0.399, 0.004, 0.206)
O (0.518, 0.892, 0.706)
O (0.546, 0.211, 0.064)
O (0.685, 0.863, 0.113)
O (0.719, 0.035, 0.580)
O (0.789, 0.454, 0.936)
O (0.819, 0.619, 0.383)
O (0.965, 0.281, 0.420)
O (0.996, 0.601, 0.794)

Space group: C2
Crystal system: monoclinic
Uncorrected energy: -7.182 eV/atom